VASP calculation (meta-GGA SCAN) on a PBEsol-optimized structure of AlRh2Au.

Cell and atoms, written as CIF:
```
data_AlRh2Au
_cell_length_a 6.154
_cell_length_b 6.154
_cell_length_c 6.154
_cell_angle_alpha 90.00
_cell_angle_beta 90.00
_cell_angle_gamma 90.00
_space_group_name_H-M_alt 'F -4 3 m'
_space_group_IT_number 216
_space_group_name_Hall 'F -4 2 3'
loop_
_atom_site_label
_atom_site_type_symbol
_atom_site_fract_x
_atom_site_fract_y
_atom_site_fract_z
_atom_site_occupancy
Al1 Al 0.000 0.000 0.000 1
Rh1 Rh 0.000 0.000 0.500 1
Rh2 Rh 0.250 0.250 0.250 1
Au1 Au 0.250 0.250 0.750 1
```

Calculated values
ΔH_f (0 K)	-28.4	kJ per mole of atoms



VASP calculation (meta-GGA SCAN) on a PBEsol-optimized structure of LiRe2Ru.

Cell and atoms, written as CIF:
```
data_LiRe2Ru
_cell_length_a 2.659
_cell_length_b 4.023
_cell_length_c 5.104
_cell_angle_alpha 90.00
_cell_angle_beta 100.66
_cell_angle_gamma 90.00
_space_group_name_H-M_alt 'P 1 2/m 1'
_space_group_IT_number 10
_space_group_name_Hall '-P 2y'
loop_
_atom_site_label
_atom_site_type_symbol
_atom_site_fract_x
_atom_site_fract_y
_atom_site_fract_z
_atom_site_occupancy
Li1 Li 0.000 0.000 0.000 1
Re1 Re 0.470 0.500 0.241 1
Ru1 Ru 0.000 0.000 0.500 1
```

Calculated values
ΔH_f (0 K)	16.7	kJ per mole of atoms



VASP calculation (meta-GGA SCAN) on a PBEsol-optimized structure of Ca2LaOs.

Cell and atoms, written as CIF:
```
data_Ca2LaOs
_cell_length_a 7.263
_cell_length_b 7.263
_cell_length_c 7.263
_cell_angle_alpha 90.00
_cell_angle_beta 90.00
_cell_angle_gamma 90.00
_space_group_name_H-M_alt 'F m -3 m'
_space_group_IT_number 225
_space_group_name_Hall '-F 4 2 3'
loop_
_atom_site_label
_atom_site_type_symbol
_atom_site_fract_x
_atom_site_fract_y
_atom_site_fract_z
_atom_site_occupancy
Ca1 Ca 0.250 0.250 0.250 1
La1 La 0.000 0.000 0.000 1
Os1 Os 0.000 0.000 0.500 1
```

Calculated values
ΔH_f (0 K)	44.7	kJ per mole of atoms



VASP calculation (meta-GGA SCAN) on a PBEsol-optimized structure of MnSiRh2.

Cell and atoms, written as CIF:
```
data_MnSiRh2
_cell_length_a 2.849
_cell_length_b 2.849
_cell_length_c 6.439
_cell_angle_alpha 90.00
_cell_angle_beta 90.00
_cell_angle_gamma 90.00
_space_group_name_H-M_alt 'P 4/m m m'
_space_group_IT_number 123
_space_group_name_Hall '-P 4 2'
loop_
_atom_site_label
_atom_site_type_symbol
_atom_site_fract_x
_atom_site_fract_y
_atom_site_fract_z
_atom_site_occupancy
Mn1 Mn 0.000 0.000 0.000 1
Si1 Si 0.000 0.000 0.500 1
Rh1 Rh 0.500 0.500 0.279 1
```

Calculated values
uncorrected energy	-24.771	eV per atom



VASP calculation (meta-GGA SCAN) on a PBEsol-optimized structure of SrSnPO2.

Cell and atoms, written as CIF:
```
data_SrSnPO2
_cell_length_a 4.379
_cell_length_b 4.379
_cell_length_c 5.801
_cell_angle_alpha 90.00
_cell_angle_beta 90.00
_cell_angle_gamma 90.00
_space_group_name_H-M_alt 'P 4/m m m'
_space_group_IT_number 123
_space_group_name_Hall '-P 4 2'
loop_
_atom_site_label
_atom_site_type_symbol
_atom_site_fract_x
_atom_site_fract_y
_atom_site_fract_z
_atom_site_occupancy
Sr1 Sr 0.000 0.000 0.000 1
Sn1 Sn 0.500 0.500 0.500 1
P1 P 0.000 0.000 0.500 1
O1 O 0.000 0.500 0.000 1
```

Calculated values
uncorrected energy	-16.303	eV per atom



VASP calculation (meta-GGA SCAN) on a PBEsol-optimized structure of Tl2Cd3.

Cell and atoms, written as CIF:
```
data_Tl2Cd3
_cell_length_a 3.2743
_cell_length_b 3.2743
_cell_length_c 38.6558
_cell_angle_alpha 90.00
_cell_angle_beta 90.00
_cell_angle_gamma 120.00
_space_group_name_H-M_alt 'R -3 m'
_space_group_IT_number 166
_space_group_name_Hall '-R 3 2"'
loop_
_atom_site_label
_atom_site_type_symbol
_atom_site_fract_x
_atom_site_fract_y
_atom_site_fract_z
_atom_site_occupancy
Tl1 Tl 0.0000 0.0000 0.0985 1
Cd1 Cd 0.0000 0.0000 0.3029 1
Cd2 Cd 0.0000 0.0000 0.5000 1
```

Calculated values
ΔH_f (0 K)	7.0	kJ per mole of atoms



VASP calculation (meta-GGA SCAN) on a PBEsol-optimized structure of P2RhCO.

Cell and atoms, written as CIF:
```
data_P2RhCO
_cell_length_a 4.252
_cell_length_b 4.252
_cell_length_c 2.966
_cell_angle_alpha 90.00
_cell_angle_beta 90.00
_cell_angle_gamma 90.00
_space_group_name_H-M_alt 'P 4/m m m'
_space_group_IT_number 123
_space_group_name_Hall '-P 4 2'
loop_
_atom_site_label
_atom_site_type_symbol
_atom_site_fract_x
_atom_site_fract_y
_atom_site_fract_z
_atom_site_occupancy
P1 P 0.000 0.500 0.000 1
Rh1 Rh 0.000 0.000 0.500 1
C1 C 0.500 0.500 0.000 1
O1 O 0.500 0.500 0.500 1
```

Calculated values
uncorrected energy	-13.314	eV per atom



VASP calculation (meta-GGA SCAN) on a PBEsol-optimized structure of Mg2SiPt.

Cell and atoms, written as CIF:
```
data_Mg2SiPt
_cell_length_a 4.2707
_cell_length_b 4.2707
_cell_length_c 8.4837
_cell_angle_alpha 90.00
_cell_angle_beta 90.00
_cell_angle_gamma 120.00
_space_group_name_H-M_alt 'P 63/m m c'
_space_group_IT_number 194
_space_group_name_Hall '-P 6c 2c'
loop_
_atom_site_label
_atom_site_type_symbol
_atom_site_fract_x
_atom_site_fract_y
_atom_site_fract_z
_atom_site_occupancy
Mg1 Mg 0.3333 0.6667 0.0838 1
Si1 Si 0.0000 0.0000 0.2500 1
Pt1 Pt 0.3333 0.6667 0.7500 1
```

Calculated values
uncorrected energy	-23.302	eV per atom



VASP calculation (meta-GGA SCAN) on a PBEsol-optimized structure of SrSc3As.

Cell and atoms, written as CIF:
```
data_SrSc3As
_cell_length_a 5.207
_cell_length_b 5.207
_cell_length_c 5.207
_cell_angle_alpha 90.00
_cell_angle_beta 90.00
_cell_angle_gamma 90.00
_space_group_name_H-M_alt 'P m -3 m'
_space_group_IT_number 221
_space_group_name_Hall '-P 4 2 3'
loop_
_atom_site_label
_atom_site_type_symbol
_atom_site_fract_x
_atom_site_fract_y
_atom_site_fract_z
_atom_site_occupancy
Sr1 Sr 0.000 0.000 0.000 1
Sc1 Sc 0.000 0.500 0.500 1
As1 As 0.500 0.500 0.500 1
```

Calculated values
ΔH_f (0 K)	-28.3	kJ per mole of atoms



VASP calculation (meta-GGA SCAN) on a PBEsol-optimized structure of HfIn2TcBr.

Cell and atoms, written as CIF:
```
data_HfIn2TcBr
_cell_length_a 5.254
_cell_length_b 5.254
_cell_length_c 4.445
_cell_angle_alpha 90.00
_cell_angle_beta 90.00
_cell_angle_gamma 90.00
_space_group_name_H-M_alt 'P 4/m m m'
_space_group_IT_number 123
_space_group_name_Hall '-P 4 2'
loop_
_atom_site_label
_atom_site_type_symbol
_atom_site_fract_x
_atom_site_fract_y
_atom_site_fract_z
_atom_site_occupancy
Hf1 Hf 0.000 0.000 0.000 1
In1 In 0.000 0.500 0.500 1
Tc1 Tc 0.500 0.500 0.000 1
Br1 Br 0.500 0.500 0.500 1
```

Calculated values
uncorrected energy	-35.428	eV per atom



VASP calculation (meta-GGA SCAN) on a PBEsol-optimized structure of MoPt2Au.

Cell and atoms, written as CIF:
```
data_MoPt2Au
_cell_length_a 2.808
_cell_length_b 3.905
_cell_length_c 5.602
_cell_angle_alpha 90.00
_cell_angle_beta 90.00
_cell_angle_gamma 90.00
_space_group_name_H-M_alt 'P m m m'
_space_group_IT_number 47
_space_group_name_Hall '-P 2 2'
loop_
_atom_site_label
_atom_site_type_symbol
_atom_site_fract_x
_atom_site_fract_y
_atom_site_fract_z
_atom_site_occupancy
Mo1 Mo 0.000 0.000 0.000 1
Pt1 Pt 0.500 0.500 0.237 1
Au1 Au 0.000 0.000 0.500 1
```

Calculated values
ΔH_f (0 K)	-16.1	kJ per mole of atoms



VASP calculation (meta-GGA SCAN) on a PBEsol-optimized structure of TaAgAsPd2.

Cell and atoms, written as CIF:
```
data_TaAgAsPd2
_cell_length_a 4.542
_cell_length_b 4.542
_cell_length_c 4.734
_cell_angle_alpha 90.00
_cell_angle_beta 90.00
_cell_angle_gamma 90.00
_space_group_name_H-M_alt 'P 4/m m m'
_space_group_IT_number 123
_space_group_name_Hall '-P 4 2'
loop_
_atom_site_label
_atom_site_type_symbol
_atom_site_fract_x
_atom_site_fract_y
_atom_site_fract_z
_atom_site_occupancy
Ta1 Ta 0.000 0.000 0.000 1
Ag1 Ag 0.500 0.500 0.000 1
As1 As 0.000 0.000 0.500 1
Pd1 Pd 0.000 0.500 0.500 1
```

Calculated values
ΔH_f (0 K)	49.6	kJ per mole of atoms